1.
CaHI2: optimized geometry, PBE.

Lattice parameters (Å, degrees): 4.2901 4.2963 8.2275 99.08 90.39 118.35
Closest atoms and distances in Å follow each position.
Sites, in units of the cell vectors:
Ca1 0.0000 0.0000 0.0000  3 H 2.52-2.70
H1 0.6280 0.3256 0.9237  1 I 2.30, 2 Ca 2.52
I1 0.3624 0.4749 0.7278  1 H 2.30
I2 0.3793 0.7613 0.2359  3 Ca 3.10-3.16, 1 H 3.41

Calculated values
**Crystal system**: triclinic
**Space group**: No. 1
**Raw total energy**: -2.81 eV/atom
**Calculated volume**: 32.8 Å³ per atom

=====

2.
Nd2DyMg8: optimized geometry, PBE.

Lattice parameters (Å, degrees): 8.8394 8.8394 8.8394 145.40 130.06 62.18
Closest atoms and distances in Å follow each position.
Sites, in units of the cell vectors:
Nd1 0.2011 0.2011 0.0000  10 Mg 3.19-3.44
Nd2 0.7989 0.7989 0.0000  10 Mg 3.19-3.44
Dy1 0.5000 0.5000 0.0000  8 Mg 3.04-3.38
Mg1 0.0674 0.3603 0.7071  1 Dy 3.04, 3 Mg 3.09-3.37, 3 Nd 3.19-3.25
Mg2 0.2152 0.0000 0.2152  7 Mg 3.18-3.37, 2 Dy 3.38, 2 Nd 3.44
Mg3 0.3434 0.8434 0.5000  8 Mg 3.18-3.45, 2 Nd 3.40, 2 Dy 3.54
Mg4 0.3468 0.6397 0.7071  1 Dy 3.04, 3 Mg 3.09-3.37, 3 Nd 3.19-3.25
Mg5 0.6532 0.3603 0.2929  1 Dy 3.04, 3 Mg 3.09-3.37, 3 Nd 3.19-3.25
Mg6 0.6566 0.1566 0.5000  8 Mg 3.18-3.45, 2 Nd 3.40, 2 Dy 3.54
Mg7 0.7848 0.0000 0.7848  7 Mg 3.18-3.37, 2 Dy 3.38, 2 Nd 3.44
Mg8 0.9326 0.6397 0.2929  1 Dy 3.04, 3 Mg 3.09-3.37, 3 Nd 3.19-3.25

Calculated values
**Crystal system**: orthorhombic
**Space group**: No. 71
**Energy of formation from the pure elements**: 0.0312 eV/atom
**Calculated volume**: 27.0 Å³ per atom

=====

3.
Np2BiAu: optimized geometry, PBE.

Lattice parameters (Å, degrees): 4.5494 4.5494 4.7465 90.00 90.00 90.00
Closest atoms and distances in Å follow each position.
Sites, in units of the cell vectors:
Np1 0.0000 0.5000 0.0000  4 Np 3.22, 4 Bi 3.29, 4 Au 3.29
Np2 0.5000 0.0000 0.0000  4 Np 3.22, 4 Bi 3.29, 4 Au 3.29
Bi1 0.0000 0.0000 0.5000  4 Au 3.22, 8 Np 3.29
Au1 0.5000 0.5000 0.5000  4 Bi 3.22, 8 Np 3.29

Calculated values
**Crystal system**: tetragonal
**Space group**: No. 123
**Energy of formation from the pure elements**: 0.0472 eV/atom
**Relative energy among the computed polymorphs**: 0 meV per atom
**Calculated volume**: 24.6 Å³ per atom

=====

4.
ZrNp3As4: optimized geometry, PBE.

Lattice parameters (Å, degrees): 7.0100 7.0100 4.0320 90.00 90.00 109.18
Closest atoms and distances in Å follow each position.
Sites, in units of the cell vectors:
Zr1 0.0000 0.0000 0.0000  6 As 2.79-2.81
Np1 0.0000 0.5000 0.5000  6 As 2.86
Np2 0.5000 0.0000 0.5000  6 As 2.86
Np3 0.5000 0.5000 0.0000  6 As 2.92
As1 0.2404 0.2404 0.5000  2 Zr 2.81, 4 Np 2.86-2.92
As2 0.2441 0.7559 0.0000  1 Zr 2.79, 5 Np 2.86-2.92
As3 0.7559 0.2441 0.0000  1 Zr 2.79, 5 Np 2.86-2.92
As4 0.7596 0.7596 0.5000  2 Zr 2.81, 4 Np 2.86-2.92

Calculated values
**Crystal system**: orthorhombic
**Space group**: No. 65
**Energy of formation from the pure elements**: -0.8114 eV/atom
**Calculated volume**: 23.4 Å³ per atom

=====

5.
TlSiSCl2: optimized geometry, PBE.

Lattice parameters (Å, degrees): 5.2668 5.2668 5.1881 90.00 90.00 90.00
Closest atoms and distances in Å follow each position.
Sites, in units of the cell vectors:
Tl1 0.0000 0.0000 0.0000  2 S 2.59, 4 Cl 2.63
Si1 0.5000 0.5000 0.5000  8 Cl 3.70, 4 S 3.72
S1 0.0000 0.0000 0.5000  2 Tl 2.59
Cl1 0.0000 0.5000 0.0000  2 Tl 2.63
Cl2 0.5000 0.0000 0.0000  2 Tl 2.63

Calculated values
**ΔE_f (raw)**: 0.40 eV/atom
**Crystal system**: tetragonal
**Space group**: No. 123
**Relative energy among the computed polymorphs**: 907 meV per atom
**Calculated volume**: 28.8 Å³ per atom

=====

6.
GdInRuAu: optimized geometry, PBE.

Lattice parameters (Å, degrees): 4.8443 4.8443 4.8443 60.00 60.00 60.00
Closest atoms and distances in Å follow each position.
Sites, in units of the cell vectors:
Gd1 0.0000 0.0000 0.0000  4 Ru 2.97, 4 Au 2.97
In1 0.5000 0.5000 0.5000  4 Ru 2.97, 4 Au 2.97
Ru1 0.7500 0.7500 0.7500  4 Gd 2.97, 4 In 2.97
Au1 0.2500 0.2500 0.2500  4 Gd 2.97, 4 In 2.97

Calculated values
**Crystal system**: cubic
**Space group**: No. 216
**Energy of formation from the pure elements**: -0.2906 eV/atom
**Calculated volume**: 20.1 Å³ per atom

=====

7.
Sr2Bi2Pb: optimized geometry, PBE.

Lattice parameters (Å, degrees): 7.0533 7.0533 9.1653 104.44 104.44 55.86
Closest atoms and distances in Å follow each position.
Sites, in units of the cell vectors:
Sr1 0.0042 0.2911 0.1479  6 Bi 3.49-3.74, 2 Pb 3.68-3.72
Sr2 0.2911 0.0042 0.6479  6 Bi 3.49-3.74, 2 Pb 3.68-3.72
Sr3 0.7089 0.9958 0.3521  6 Bi 3.49-3.74, 2 Pb 3.68-3.72
Sr4 0.9958 0.7089 0.8521  6 Bi 3.49-3.74, 2 Pb 3.68-3.72
Bi1 0.2365 0.4886 0.5111  1 Bi 3.20, 2 Pb 3.24-3.36, 2 Sr 3.49-3.51
Bi2 0.4886 0.2365 0.0111  1 Bi 3.20, 2 Pb 3.24-3.36, 2 Sr 3.49-3.51
Bi3 0.5114 0.7635 0.9889  1 Bi 3.20, 2 Pb 3.24-3.36, 2 Sr 3.49-3.51
Bi4 0.7635 0.5114 0.4889  1 Bi 3.20, 2 Pb 3.24-3.36, 2 Sr 3.49-3.51
Pb1 0.2925 0.7075 0.2500  4 Bi 3.24-3.36
Pb2 0.7075 0.2925 0.7500  4 Bi 3.24-3.36

Calculated values
**Crystal system**: monoclinic
**Space group**: No. 15
**Energy of formation from the pure elements**: -0.6048 eV/atom
**Relative energy among the computed polymorphs**: 27 meV per atom
**Calculated volume**: 36.2 Å³ per atom

=====

8.
AgBSe2Br: optimized geometry, PBE.

Lattice parameters (Å, degrees): 5.0690 5.0690 5.3213 90.00 90.00 90.00
Closest atoms and distances in Å follow each position.
Sites, in units of the cell vectors:
Ag1 0.0000 0.0000 0.0000  4 Se 2.53, 2 Br 2.66
B1 0.5000 0.5000 0.5000  4 Br 3.58, 8 Se 3.67
Se1 0.0000 0.5000 0.0000  2 Ag 2.53
Se2 0.5000 0.0000 0.0000  2 Ag 2.53
Br1 0.0000 0.0000 0.5000  2 Ag 2.66

Calculated values
**ΔE_f (raw)**: 1.32 eV/atom
**Crystal system**: tetragonal
**Space group**: No. 123
**Relative energy among the computed polymorphs**: 770 meV per atom
**Calculated volume**: 27.3 Å³ per atom

=====

9.
LaCoCl: optimized geometry, PBE.

Lattice parameters (Å, degrees): 4.1268 4.1268 3.8387 90.00 90.00 120.00
Closest atoms and distances in Å follow each position.
Sites, in units of the cell vectors:
La1 0.0000 0.0000 0.0000  6 Cl 3.06, 6 Co 3.06
Co1 0.3333 0.6667 0.5000  3 Cl 2.38
Cl1 0.6667 0.3333 0.5000  3 Co 2.38

Calculated values
**ΔE_f (raw)**: -0.47 eV/atom
**Crystal system**: hexagonal
**Space group**: No. 187
**Calculated volume**: 18.9 Å³ per atom

=====

10.
ScAu2: optimized geometry, PBE.

Lattice parameters (Å, degrees): 5.3784 5.3784 6.6314 110.10 110.10 40.72
Closest atoms and distances in Å follow each position.
Sites, in units of the cell vectors:
Sc1 0.1695 0.1695 0.1340  8 Au 2.81-2.94
Sc2 0.8305 0.8305 0.8660  8 Au 2.81-2.94
Au1 0.1592 0.1592 0.5680  3 Sc 2.81-2.92, 7 Au 2.95-3.08
Au2 0.4687 0.4687 0.2111  5 Sc 2.87-2.94, 5 Au 2.95-3.09
Au3 0.5313 0.5313 0.7889  5 Sc 2.87-2.94, 5 Au 2.95-3.09
Au4 0.8408 0.8408 0.4320  3 Sc 2.81-2.92, 7 Au 2.95-3.08

Calculated values
**Crystal system**: monoclinic
**Space group**: No. 12
**Energy of formation from the pure elements**: -0.5903 eV/atom
**Calculated volume**: 19.4 Å³ per atom

=====

11.
Pm6C2SeCl3: optimized geometry, PBE.

Lattice parameters (Å, degrees): 9.2040 9.2040 8.4015 106.26 106.26 24.19
Closest atoms and distances in Å follow each position.
Sites, in units of the cell vectors:
Pm1 0.0282 0.0282 0.2633  1 C 2.47
Pm2 0.3185 0.3185 0.4450  3 C 2.54-2.62
Pm3 0.3307 0.3307 0.8593  2 C 2.54
Pm4 0.6693 0.6693 0.1407  2 C 2.54
Pm5 0.6815 0.6815 0.5550  3 C 2.54-2.62
Pm6 0.9718 0.9718 0.7367  1 C 2.47
C1 0.1714 0.1714 0.3390  6 Pm 2.47-2.62
C2 0.8286 0.8286 0.6610  6 Pm 2.47-2.62
Se1 0.5000 0.5000 0.0000  6 Pm 2.87-2.94
Cl1 0.1657 0.1657 0.8314  5 Pm 2.91-3.22
Cl2 0.5000 0.5000 0.5000  6 Pm 2.92-3.17
Cl3 0.8343 0.8343 0.1686  5 Pm 2.91-3.22

Calculated values
**ΔE_f (raw)**: -1.23 eV/atom
**Crystal system**: monoclinic
**Space group**: No. 12
**Calculated volume**: 23.3 Å³ per atom

=====

12.
ZnGaAsSe: optimized geometry, PBE.

Lattice parameters (Å, degrees): 7.0507 7.0507 7.0507 33.45 33.45 33.45
Closest atoms and distances in Å follow each position.
Sites, in units of the cell vectors:
Zn1 0.0000 0.0000 0.0000  1 As 2.46, 3 Se 2.51
Ga1 0.4963 0.4963 0.4963  3 As 2.47, 1 Se 2.51
As1 0.1234 0.1234 0.1234  1 Zn 2.46, 3 Ga 2.47
Se1 0.6219 0.6219 0.6219  1 Ga 2.51, 3 Zn 2.51

Calculated values
**ΔE_f (raw)**: -0.51 eV/atom
**Crystal system**: trigonal
**Space group**: No. 160
**Calculated volume**: 23.7 Å³ per atom

=====

- Number 1 is which compound?
  CaHI2

=====

Repeat the tenth record exactly.
ScAu2: optimized geometry, PBE.

Lattice parameters (Å, degrees): 5.3784 5.3784 6.6314 110.10 110.10 40.72
Closest atoms and distances in Å follow each position.
Sites, in units of the cell vectors:
Sc1 0.1695 0.1695 0.1340  8 Au 2.81-2.94
Sc2 0.8305 0.8305 0.8660  8 Au 2.81-2.94
Au1 0.1592 0.1592 0.5680  3 Sc 2.81-2.92, 7 Au 2.95-3.08
Au2 0.4687 0.4687 0.2111  5 Sc 2.87-2.94, 5 Au 2.95-3.09
Au3 0.5313 0.5313 0.7889  5 Sc 2.87-2.94, 5 Au 2.95-3.09
Au4 0.8408 0.8408 0.4320  3 Sc 2.81-2.92, 7 Au 2.95-3.08

Calculated values
**Crystal system**: monoclinic
**Space group**: No. 12
**Energy of formation from the pure elements**: -0.5903 eV/atom
**Calculated volume**: 19.4 Å³ per atom

=====

- Number 3 is which compound?
  Np2BiAu

=====

- Which of these has the highest calculated volume?
  Sr2Bi2Pb